DFT (PBE) results for a relaxed structure of TcGeHPb2.

```
TcGeHPb2
1.0
5.5962 0.0000 0.0000
0.0000 5.5962 0.0000
0.0000 0.0000 3.3206
Tc Ge H Pb
1 1 1 2
Cartesian
0.0000 0.0000 0.0000
2.7981 2.7981 1.6603
2.7981 2.7981 0.0000
0.0000 2.7981 1.6603
2.7981 0.0000 1.6603
```

Values from the calculation:
Its space-group type is P4/mmm, No. 123. As for the density: 9.36 g cm⁻³. For the volume, the calculation gives 20.80 Å³ per atom. Its total magnetization is 2.52 μB per cell. The total energy comes out at -4.34 eV/atom.

***

DFT (PBE) results for a relaxed structure of Ge2TeHPb.

```
Ge2TeHPb
1.0
5.6004 0.0000 0.0000
0.0000 5.6004 0.0000
0.0000 0.0000 6.0026
Ge Te H Pb
2 1 1 1
Cartesian
0.0000 2.8002 0.0000
2.8002 0.0000 0.0000
0.0000 0.0000 3.0013
2.8002 2.8002 3.0013
0.0000 0.0000 0.0000
```

Values from the calculation:
Its space-group type is P4/mmm, No. 123. As for the density: 4.24 g cm⁻³. For the volume, the calculation gives 37.65 Å³ per atom. Its total magnetization is 0.98 μB per cell. The total energy comes out at -2.58 eV/atom.

***

DFT (PBE) results for a relaxed structure of Ti2GeHPb.

```
Ti2GeHPb
1.0
5.4277 0.0000 0.0000
0.0000 5.4277 0.0000
0.0000 0.0000 5.3164
Ti Ge H Pb
2 1 1 1
Cartesian
0.0000 2.7138 0.0000
2.7138 0.0000 0.0000
0.0000 0.0000 2.6582
2.7138 2.7138 2.6582
0.0000 0.0000 0.0000
```

Values from the calculation:
Its space-group type is P4/mmm, No. 123. As for the density: 3.99 g cm⁻³. For the volume, the calculation gives 31.32 Å³ per atom. Its total magnetization is 4.40 μB per cell. The total energy comes out at -3.81 eV/atom.

***

DFT (PBE) results for a relaxed structure of GeH2Pd.

```
GeH2Pd
1.0
5.5109 0.0000 0.0000
0.0000 5.5109 0.0000
0.0000 0.0000 5.5109
Ge H Pd
4 8 4
Cartesian
0.0000 0.0000 0.0000
0.0000 2.7555 2.7555
2.7555 0.0000 2.7555
2.7555 2.7555 0.0000
1.3777 1.3777 1.3777
1.3777 1.3777 4.1332
1.3777 4.1332 1.3777
1.3777 4.1332 4.1332
4.1332 1.3777 1.3777
4.1332 1.3777 4.1332
4.1332 4.1332 1.3777
4.1332 4.1332 4.1332
0.0000 0.0000 2.7555
0.0000 2.7555 0.0000
2.7555 0.0000 0.0000
2.7555 2.7555 2.7555
```

Values from the calculation:
Its space-group type is Fm-3m, No. 225. As for the density: 7.19 g cm⁻³. For the volume, the calculation gives 10.46 Å³ per atom. Its total magnetization is 0.00 μB per cell. The total energy comes out at -3.50 eV/atom.

***

DFT (PBE) results for a relaxed structure of Ge3HPd.

```
Ge3HPd
1.0
4.8520 0.0000 0.0000
0.0000 4.8520 0.0000
0.0000 0.0000 4.8520
Ge H Pd
3 1 1
Cartesian
0.0000 0.0000 2.4260
0.0000 2.4260 0.0000
2.4260 0.0000 0.0000
2.4260 2.4260 2.4260
0.0000 0.0000 0.0000
```

Values from the calculation:
Its space-group type is Pm-3m, No. 221. As for the density: 4.73 g cm⁻³. For the volume, the calculation gives 22.84 Å³ per atom. Its total magnetization is 0.00 μB per cell. The total energy comes out at -3.69 eV/atom.

***

DFT (PBE) results for a relaxed structure of GeH3Pd6.

```
GeH3Pd6
1.0
9.1372 0.0000 0.0000
0.0000 2.9667 0.0000
-3.5306 0.0000 8.6801
Ge H Pd
2 6 12
Cartesian
-0.2335 0.7417 3.2531
5.8401 2.2250 5.4269
1.5383 2.2250 0.1845
0.8110 0.7417 7.9439
3.0824 0.7417 2.6305
2.5242 2.2250 6.0496
4.7956 2.2250 0.7362
4.0683 0.7417 8.4956
-2.5758 0.7417 7.3440
-0.8266 2.2250 5.3188
1.6417 0.7417 1.4003
-0.2237 2.2250 8.1910
1.6804 2.2250 3.8645
1.4817 0.7417 6.2876
4.1249 2.2250 2.3924
3.9262 0.7417 4.8155
5.8303 0.7417 0.4890
3.9648 2.2250 7.2798
6.4332 0.7417 3.3612
8.1824 2.2250 1.3361
```

Values from the calculation:
Its space-group type is P2_1/m, No. 11. As for the density: 10.08 g cm⁻³. For the volume, the calculation gives 11.76 Å³ per atom. Its total magnetization is 0.00 μB per cell. The total energy comes out at -4.78 eV/atom.